# ZrCrAs | Alexandria | PBE | relaxed
data_ZrCrAs
_chemical_formula_sum 'Zr1 Cr1 As1'
_cell_length_a 4.5345
_cell_length_b 4.5345
_cell_length_c 4.5345
_cell_angle_alpha 60.00
_cell_angle_beta 60.00
_cell_angle_gamma 60.00
_symmetry_space_group_name_H-M 'P 1'
_symmetry_Int_Tables_number 1
_symmetry_space_group_name_Hall 'P 1'
loop_
_atom_site_label
_atom_site_type_symbol
_atom_site_fract_x
_atom_site_fract_y
_atom_site_fract_z
As1 As 0.0000 0.0000 0.0000
Cr1 Cr 0.5000 0.5000 0.5000
Zr1 Zr 0.7500 0.7500 0.7500
# * SG: F-43m (216)



# Zr2CrAs | Alexandria | PBE | relaxed
data_Zr2CrAs
_chemical_formula_sum 'Zr2 Cr1 As1'
_cell_length_a 3.2607
_cell_length_b 3.2607
_cell_length_c 6.8722
_cell_angle_alpha 90.00
_cell_angle_beta 90.00
_cell_angle_gamma 90.00
_symmetry_space_group_name_H-M 'P 1'
_symmetry_Int_Tables_number 1
_symmetry_space_group_name_Hall 'P 1'
loop_
_atom_site_label
_atom_site_type_symbol
_atom_site_fract_x
_atom_site_fract_y
_atom_site_fract_z
As1 As 0.0000 0.0000 0.5476
Cr1 Cr 0.5000 0.5000 0.7098
Zr1 Zr 0.0000 0.0000 0.9611
Zr2 Zr 0.5000 0.5000 0.2815
# * SG: P4mm (99)



# Zr2CrAs | Alexandria | PBE | relaxed
data_Zr2CrAs
_chemical_formula_sum 'Zr2 Cr1 As1'
_cell_length_a 4.6610
_cell_length_b 4.6610
_cell_length_c 4.6610
_cell_angle_alpha 60.00
_cell_angle_beta 60.00
_cell_angle_gamma 60.00
_symmetry_space_group_name_H-M 'P 1'
_symmetry_Int_Tables_number 1
_symmetry_space_group_name_Hall 'P 1'
loop_
_atom_site_label
_atom_site_type_symbol
_atom_site_fract_x
_atom_site_fract_y
_atom_site_fract_z
As1 As 0.5000 0.5000 0.5000
Cr1 Cr 0.2500 0.2500 0.2500
Zr1 Zr 0.0000 0.0000 0.0000
Zr2 Zr 0.7500 0.7500 0.7500
# * SG: F-43m (216)



# ZrCrAs2 | Alexandria | PBE | relaxed
data_ZrCrAs2
_chemical_formula_sum 'Zr1 Cr1 As2'
_cell_length_a 3.7415
_cell_length_b 3.4590
_cell_length_c 5.8642
_cell_angle_alpha 89.65
_cell_angle_beta 90.00
_cell_angle_gamma 90.00
_symmetry_space_group_name_H-M 'P 1'
_symmetry_Int_Tables_number 1
_symmetry_space_group_name_Hall 'P 1'
loop_
_atom_site_label
_atom_site_type_symbol
_atom_site_fract_x
_atom_site_fract_y
_atom_site_fract_z
As1 As 0.0000 0.2466 0.9785
As2 As 0.0000 0.2534 0.5215
Cr1 Cr 0.5000 0.2500 0.2500
Zr1 Zr 0.5000 0.7500 0.7500
# * SG: P2/m (10)



# ZrCrAs | Alexandria | PBE | relaxed
data_ZrCrAs
_chemical_formula_sum 'Zr1 Cr1 As1'
_cell_length_a 4.3393
_cell_length_b 4.3393
_cell_length_c 4.3393
_cell_angle_alpha 60.00
_cell_angle_beta 60.00
_cell_angle_gamma 60.00
_symmetry_space_group_name_H-M 'P 1'
_symmetry_Int_Tables_number 1
_symmetry_space_group_name_Hall 'P 1'
loop_
_atom_site_label
_atom_site_type_symbol
_atom_site_fract_x
_atom_site_fract_y
_atom_site_fract_z
As1 As 0.7500 0.7500 0.7500
Cr1 Cr 0.0000 0.0000 0.0000
Zr1 Zr 0.5000 0.5000 0.5000
# * SG: F-43m (216)



# ZrCrAs2 | Alexandria | PBE | relaxed
data_ZrCrAs2
_chemical_formula_sum 'Zr1 Cr1 As2'
_cell_length_a 4.7779
_cell_length_b 4.7779
_cell_length_c 4.7779
_cell_angle_alpha 131.44
_cell_angle_beta 114.64
_cell_angle_gamma 85.48
_symmetry_space_group_name_H-M 'P 1'
_symmetry_Int_Tables_number 1
_symmetry_space_group_name_Hall 'P 1'
loop_
_atom_site_label
_atom_site_type_symbol
_atom_site_fract_x
_atom_site_fract_y
_atom_site_fract_z
As1 As 0.9718 0.9718 0.0000
As2 As 0.5282 0.5282 0.0000
Cr1 Cr 0.7500 0.2500 0.5000
Zr1 Zr 0.2500 0.7500 0.5000
# * SG: Immm (71)



# ZrCrAs2 | Alexandria | PBE | relaxed
data_ZrCrAs2
_chemical_formula_sum 'Zr2 Cr2 As4'
_cell_length_a 5.9552
_cell_length_b 5.9552
_cell_length_c 7.1971
_cell_angle_alpha 65.56
_cell_angle_beta 65.56
_cell_angle_gamma 90.00
_symmetry_space_group_name_H-M 'P 1'
_symmetry_Int_Tables_number 1
_symmetry_space_group_name_Hall 'P 1'
loop_
_atom_site_label
_atom_site_type_symbol
_atom_site_fract_x
_atom_site_fract_y
_atom_site_fract_z
Cr1 Cr 0.5000 0.5000 0.0000
Cr2 Cr 0.2500 0.7500 0.5000
As1 As 0.6053 0.1250 0.2500
As2 As 0.1447 0.6250 0.2500
As3 As 0.3750 0.3947 0.7500
As4 As 0.8750 0.8553 0.7500
Zr1 Zr 0.0000 0.0000 0.0000
Zr2 Zr 0.7500 0.2500 0.5000
# * SG: I-42d (122)



# ZrCrAs2 | Alexandria | PBE | relaxed
data_ZrCrAs2
_chemical_formula_sum 'Zr1 Cr1 As2'
_cell_length_a 3.1108
_cell_length_b 3.1109
_cell_length_c 6.6762
_cell_angle_alpha 90.00
_cell_angle_beta 90.00
_cell_angle_gamma 90.00
_symmetry_space_group_name_H-M 'P 1'
_symmetry_Int_Tables_number 1
_symmetry_space_group_name_Hall 'P 1'
loop_
_atom_site_label
_atom_site_type_symbol
_atom_site_fract_x
_atom_site_fract_y
_atom_site_fract_z
As1 As 0.0000 0.0000 0.0361
As2 As 0.0000 0.0000 0.4639
Cr1 Cr 0.5000 0.5000 0.2500
Zr1 Zr 0.5000 0.5000 0.7500
# * SG: P4/mmm (123)



# Zr2CrAs | Alexandria | PBE | relaxed
data_Zr2CrAs
_chemical_formula_sum 'Zr2 Cr1 As1'
_cell_length_a 3.1285
_cell_length_b 3.1285
_cell_length_c 7.9212
_cell_angle_alpha 90.00
_cell_angle_beta 90.00
_cell_angle_gamma 107.46
_symmetry_space_group_name_H-M 'P 1'
_symmetry_Int_Tables_number 1
_symmetry_space_group_name_Hall 'P 1'
loop_
_atom_site_label
_atom_site_type_symbol
_atom_site_fract_x
_atom_site_fract_y
_atom_site_fract_z
As1 As 0.5000 0.5000 0.2500
Cr1 Cr 0.5000 0.5000 0.7500
Zr1 Zr 0.0000 0.0000 0.9927
Zr2 Zr 0.0000 0.0000 0.5073
# * SG: Cmmm (65)



# Zr2CrAs | Alexandria | PBE | relaxed
data_Zr2CrAs
_chemical_formula_sum 'Zr2 Cr1 As1'
_cell_length_a 7.6715
_cell_length_b 7.6715
_cell_length_c 7.6715
_cell_angle_alpha 26.21
_cell_angle_beta 26.21
_cell_angle_gamma 26.21
_symmetry_space_group_name_H-M 'P 1'
_symmetry_Int_Tables_number 1
_symmetry_space_group_name_Hall 'P 1'
loop_
_atom_site_label
_atom_site_type_symbol
_atom_site_fract_x
_atom_site_fract_y
_atom_site_fract_z
As1 As 0.2500 0.2500 0.2500
Cr1 Cr 0.7500 0.7500 0.7500
Zr1 Zr 0.9983 0.9983 0.9983
Zr2 Zr 0.5017 0.5017 0.5017
# * SG: R-3m (166)



# Zr2CrAs | Alexandria | PBE | relaxed
data_Zr2CrAs
_chemical_formula_sum 'Zr2 Cr1 As1'
_cell_length_a 5.5384
_cell_length_b 5.5384
_cell_length_c 5.5384
_cell_angle_alpha 138.27
_cell_angle_beta 138.27
_cell_angle_gamma 60.49
_symmetry_space_group_name_H-M 'P 1'
_symmetry_Int_Tables_number 1
_symmetry_space_group_name_Hall 'P 1'
loop_
_atom_site_label
_atom_site_type_symbol
_atom_site_fract_x
_atom_site_fract_y
_atom_site_fract_z
As1 As 0.5000 0.5000 0.0000
Cr1 Cr 0.7500 0.2500 0.5000
Zr1 Zr 0.0000 0.0000 0.0000
Zr2 Zr 0.2500 0.7500 0.5000
# * SG: I-4m2 (119)



# Zr2CrAs | Alexandria | PBE | relaxed
data_Zr2CrAs
_chemical_formula_sum 'Zr2 Cr1 As1'
_cell_length_a 3.4420
_cell_length_b 3.4455
_cell_length_c 6.9808
_cell_angle_alpha 60.44
_cell_angle_beta 90.00
_cell_angle_gamma 90.00
_symmetry_space_group_name_H-M 'P 1'
_symmetry_Int_Tables_number 1
_symmetry_space_group_name_Hall 'P 1'
loop_
_atom_site_label
_atom_site_type_symbol
_atom_site_fract_x
_atom_site_fract_y
_atom_site_fract_z
As1 As 0.5000 0.2500 0.2500
Cr1 Cr 0.5000 0.7500 0.7500
Zr1 Zr 0.0000 0.0014 0.9986
Zr2 Zr 0.0000 0.4986 0.5014
# * SG: P4/mmm (123)



# Zr2CrAs | Alexandria | PBE | relaxed
data_Zr2CrAs
_chemical_formula_sum 'Zr4 Cr2 As2'
_cell_length_a 7.4728
_cell_length_b 7.4728
_cell_length_c 6.0314
_cell_angle_alpha 51.72
_cell_angle_beta 51.72
_cell_angle_gamma 90.00
_symmetry_space_group_name_H-M 'P 1'
_symmetry_Int_Tables_number 1
_symmetry_space_group_name_Hall 'P 1'
loop_
_atom_site_label
_atom_site_type_symbol
_atom_site_fract_x
_atom_site_fract_y
_atom_site_fract_z
Cr1 Cr 0.5000 0.5000 0.0000
Cr2 Cr 0.2500 0.7500 0.5000
As1 As 0.0000 0.0000 0.0000
As2 As 0.7500 0.2500 0.5000
Zr1 Zr 0.6374 0.1250 0.2500
Zr2 Zr 0.1126 0.6250 0.2500
Zr3 Zr 0.3750 0.3626 0.7500
Zr4 Zr 0.8750 0.8874 0.7500
# * SG: I-42d (122)



| no. | ΔH_f (0 K) (eV/atom) | total energy (eV for the cell shown) | D(E_F) (states/eV/f.u.) |
| --- | --- | --- | --- |
| 1 | 0.378 | -21.686 | 3.93 |
| 2 | -0.178 | -32.080 | 4.77 |
| 3 | 0.061 | -31.127 | 3.68 |
| 4 | -0.340 | -28.829 | 2.33 |
| 5 | -0.176 | -23.348 | 2.85 |
| 6 | -0.357 | -28.898 | 2.92 |
| 7 | -0.095 | -55.705 | 1.86 |
| 8 | -0.283 | -28.601 | 2.65 |
| 9 | -0.156 | -31.994 | 3.66 |
| 10 | -0.117 | -31.837 | 3.82 |
| 11 | -0.245 | -32.348 | 3.40 |
| 12 | -0.348 | -32.762 | 2.47 |
| 13 | 0.051 | -62.328 | 3.51 |